Entry from Alexandria: a relaxed V2FeNiSb crystal (PBE).

Unit cell a=4.2899 b=4.6655 c=4.2899 alpha=90.00 beta=90.00 gamma=90.00
Fractional positions:
V1 0.0000 0.0000 0.5000
V2 0.5000 0.0000 0.0000
Sb1 0.0000 0.5000 0.0000
Ni1 0.5000 0.5000 0.5000
Fe1 0.0000 0.0000 0.0000

## Properties
symmetry: No. 123
V: 85.9 Å³/cell
formation energy from raw total energies: 389 kJ/mol of formula units

=====

Entry from Alexandria: a relaxed SrDyTm2Se4 crystal (PBE).

Unit cell a=4.0968 b=7.1519 c=7.1498 alpha=70.95 beta=90.00 gamma=90.00
Fractional positions:
Sr1 0.5000 0.5000 0.0000
Se1 0.5000 0.2391 0.7469
Se2 0.5000 0.7609 0.2531
Se3 0.0000 0.2332 0.2628
Se4 0.0000 0.7668 0.7372
Tm1 0.5000 0.0000 0.5000
Tm2 0.0000 0.0000 0.0000
Dy1 0.0000 0.5000 0.5000

## Properties
symmetry: No. 10
V: 198.0 Å³/cell
formation energy from raw total energies: -1352 kJ/mol of formula units

=====

Entry from Alexandria: a relaxed HfCoTeCl2 crystal (PBE).

Unit cell a=5.3704 b=5.3704 c=4.6445 alpha=90.00 beta=90.00 gamma=90.00
Fractional positions:
Cl1 0.5000 0.0000 0.0000
Cl2 0.0000 0.5000 0.0000
Te1 0.0000 0.0000 0.0000
Hf1 0.5000 0.5000 0.5000
Co1 0.0000 0.0000 0.5000

## Properties
symmetry: No. 123
V: 134.0 Å³/cell
formation energy from raw total energies: 485 kJ/mol of formula units

=====

Entry from Alexandria: a relaxed TlTcAg3 crystal (PBE).

Unit cell a=5.2256 b=5.2256 c=5.2256 alpha=90.00 beta=90.00 gamma=90.00
Fractional positions:
Tc1 0.0000 0.0000 0.0000
Tl1 0.5000 0.5000 0.5000
Ag1 0.0000 0.0000 0.5000
Ag2 0.5000 0.0000 0.0000
Ag3 0.0000 0.5000 0.0000

## Properties
energy above the lowest structure with this stoichiometry: 0.000 eV per atom
symmetry: No. 221
V: 142.7 Å³/cell

=====

Entry from Alexandria: a relaxed CePm2ZrIr2 crystal (PBE).

Unit cell a=6.8311 b=6.6942 c=8.3458 alpha=113.64 beta=114.16 gamma=90.00
Fractional positions:
Zr1 0.5000 0.7500 0.0000
Zr2 0.5000 0.2500 0.0000
Ir1 0.8321 0.1043 0.2085
Ir2 0.1679 0.8957 0.7915
Ir3 0.3764 0.6043 0.2085
Ir4 0.6236 0.3957 0.7915
Pm1 0.1125 0.3106 0.6211
Pm2 0.5086 0.8106 0.6211
Pm3 0.4914 0.1894 0.3789
Pm4 0.8875 0.6894 0.3789
Ce1 0.0000 0.7500 0.0000
Ce2 0.0000 0.2500 0.0000

## Properties
uncorrected energy: -7.5103 eV per atom
symmetry: No. 72
V: 312.8 Å³/cell

=====

Entry from Alexandria: a relaxed K2TiPbF8 crystal (PBE).

Unit cell a=4.7650 b=6.0514 c=7.5636 alpha=90.00 beta=90.00 gamma=93.49
Fractional positions:
F1 0.1311 0.8178 0.8133
F2 0.8690 0.1822 0.8133
F3 0.6736 0.8127 0.0000
F4 0.8689 0.1822 0.1867
F5 0.1310 0.8178 0.1867
F6 0.4022 0.2429 0.5000
F7 0.3264 0.1873 0.0000
F8 0.5978 0.7571 0.5000
Ti1 0.0000 0.0000 0.0000
K1 0.5000 0.5000 0.2375
K2 0.5000 0.5000 0.7625
Pb1 0.0000 0.0000 0.5000

## Properties
symmetry: No. 10
V: 217.7 Å³/cell
formation energy from raw total energies: -3431 kJ/mol of formula units

=====

Entry from Alexandria: a relaxed Np2BiSe5 crystal (PBE).

Unit cell a=4.0733 b=8.0702 c=12.4700 alpha=90.00 beta=90.00 gamma=90.00
Fractional positions:
Bi1 0.0000 0.0000 0.0000
Bi2 0.0000 0.5000 0.5000
Se1 0.0000 0.1838 0.7985
Se2 0.5000 0.3247 0.6136
Se3 0.0000 0.6838 0.7015
Se4 0.0000 0.3162 0.2985
Se5 0.5000 0.1753 0.1136
Se6 0.5000 0.6753 0.3864
Se7 0.0000 0.8162 0.2015
Se8 0.0000 0.5000 0.0000
Se9 0.0000 0.0000 0.5000
Se10 0.5000 0.8247 0.8864
Np1 0.5000 0.4738 0.8257
Np2 0.5000 0.9738 0.6743
Np3 0.5000 0.5262 0.1743
Np4 0.5000 0.0262 0.3257

## Properties
symmetry: No. 55
V: 409.9 Å³/cell
formation energy from raw total energies: -642 kJ/mol of formula units

=====

Entry from Alexandria: a relaxed KNpReO6 crystal (PBE).

Unit cell a=7.7786 b=7.3760 c=7.5720 alpha=119.15 beta=120.91 gamma=90.00
Fractional positions:
O1 0.4481 0.0820 0.2497
O2 0.5404 0.2904 0.0807
O3 0.1719 0.9219 0.3438
O4 0.5519 0.9180 0.7503
O5 0.8016 0.6677 0.2497
O6 0.8016 0.0820 0.2497
O7 0.4481 0.6677 0.2497
O8 0.1984 0.3323 0.7503
O9 0.5519 0.3323 0.7503
O10 0.4596 0.7096 0.9193
O11 0.1984 0.9180 0.7503
O12 0.8281 0.0781 0.6562
Re1 0.5000 0.5000 0.0000
Re2 0.5000 0.0000 0.0000
K1 0.1366 0.3866 0.2733
K2 0.8634 0.6134 0.7267
Np1 0.0000 0.0000 0.5000
Np2 0.5000 0.0000 0.5000

## Properties
symmetry: No. 74
V: 306.9 Å³/cell
formation energy from raw total energies: -1892 kJ/mol of formula units